ReOs2Br2 | PBE-GGA | relaxed

Output
The calculation puts the volume at 94.0 Å³/f.u. As for the mass density: 12.8 g/cm³. As for the energy relative to the elements, uncorrected: 2.2933 eV per atom. The offset from the most stable computed form comes out at 371 meV per atom. The crystal system is tetragonal.

The structure in extended XYZ format:
```
10
Lattice="4.150 0.000 0.000 0.000 4.150 0.000 0.000 0.000 10.915" Properties=species:S:1:pos:R:3 pbc="T T T"
Re 0.000 0.000 0.000
Re 2.075 2.075 5.458
Os 0.000 2.075 2.729
Os 0.000 2.075 8.186
Os 2.075 0.000 2.729
Os 2.075 0.000 8.186
Br 0.000 0.000 4.087
Br 0.000 0.000 6.828
Br 2.075 2.075 1.371
Br 2.075 2.075 9.544
```